Record 1
CaMoN3: relaxed, PBE-GGA.

Results
- Space group: P1, No. 1
- Final energy: -8.07 eV/atom
- Raw formation energy: -0.513 eV per atom

abc: 3.518 5.458 7.537
angles: 92.13 97.44 96.22
Sites, in units of the cell vectors:
Ca  0.000  0.000  0.000
Ca  0.088  0.882  0.529
Mo  0.450  0.458  0.799
Mo  0.633  0.331  0.295
N  0.176  0.457  0.381
N  0.412  0.782  0.841
N  0.476  0.536  0.513
N  0.566  0.004  0.320
N  0.581  0.345  0.044
N  0.958  0.291  0.748

Record 2
Tb3Tm4Th2: relaxed, PBE-GGA.

Results
- Space group: C2/m, No. 12
- Energy above the lowest structure with this stoichiometry: 0.000 eV per atom
- Final energy: -5.18 eV/atom
- Calculated formation energy: -3 meV/atom

abc: 9.430 9.430 9.440
angles: 115.28 115.28 21.81
Sites, in units of the cell vectors:
Tb  0.000  0.000  0.000
Tb  0.149  0.149  0.670
Tb  0.851  0.851  0.330
Tm  0.185  0.185  0.333
Tm  0.481  0.481  0.667
Tm  0.519  0.519  0.333
Tm  0.815  0.815  0.667
Th  0.332  0.332  0.998
Th  0.668  0.668  0.002

Record 3
Th6SiGe2P3: relaxed, PBE-GGA.

Results
- Space group: C2/m, No. 12
- Final energy: -7.41 eV/atom
- Raw formation energy: -1.128 eV per atom

abc: 9.433 9.433 8.421
angles: 102.61 102.61 25.91
Sites, in units of the cell vectors:
Th  0.002  0.002  0.250
Th  0.333  0.333  0.421
Th  0.335  0.335  0.913
Th  0.665  0.665  0.087
Th  0.667  0.667  0.579
Th  0.998  0.998  0.750
Si  0.500  0.500  0.500
Ge  0.167  0.167  0.834
Ge  0.833  0.833  0.166
P  0.167  0.167  0.333
P  0.500  0.500  0.000
P  0.833  0.833  0.667

Record 4
Tm2LuPb: relaxed, PBE-GGA.

Results
- Space group: P4/mmm, No. 123
- Energy above the lowest structure with this stoichiometry: 0.033 eV per atom
- Final energy: -4.49 eV/atom
- Calculated formation energy: -199 meV/atom

abc: 3.596 3.596 8.965
angles: 90.00 90.00 90.00
Sites, in units of the cell vectors:
Tm  0.000  0.000  0.240
Tm  0.000  0.000  0.760
Lu  0.500  0.500  0.500
Pb  0.500  0.500  0.000